# 1
DFT (PBE) results for a relaxed HoEr8Tl6 crystal.

Lattice parameters (Å, degrees): 9.0082 9.0082 19.4825 90.00 90.00 120.00
Last column: nearest neighbours and their distance in Å.
Space group R-3 (No. 148, hexagonal axes)
One atom of each set of equivalent atoms:
1 Ho 0.0000 0.0000 0.0000 [3 per cell]  6 Tl 3.26
2 Er 0.0000 0.0000 0.3333 [6 per cell]  6 Tl 3.26
3 Er 0.9999 0.3335 0.1093 [18 per cell]  5 Tl 3.10-3.40
4 Tl 0.9997 0.3328 0.6016 [18 per cell]  7 Er 3.10-3.40, 1 Ho 3.26

Results
Its formation energy is -0.1183 eV/atom. The value obtained for the density of states at the Fermi level is 55.1 states/eV/cell.

# 2
DFT (PBE) results for a relaxed Ho4Er3Tl4 crystal.

Lattice parameters (Å, degrees): 3.6420 9.4326 18.6183 90.00 90.00 90.00
Last column: nearest neighbours and their distance in Å.
Space group Immm (No. 71)
One atom of each set of equivalent atoms:
1 Ho 0.0000 0.1880 0.1623 [8 per cell]  4 Tl 3.15-3.22
2 Er 0.0000 0.0000 0.4030 [4 per cell]  6 Tl 3.10-3.30
3 Er 0.0000 0.5000 0.5000 [2 per cell]  4 Tl 3.21
4 Tl 0.0000 0.2805 0.0000 [4 per cell]  2 Ho 3.15, 6 Er 3.21-3.30
5 Tl 0.0000 0.5000 0.2316 [4 per cell]  2 Er 3.10, 6 Ho 3.21-3.22

Results
Its formation energy is -0.2095 eV/atom. The value obtained for the density of states at the Fermi level is 23.1 states/eV/cell.

# 3
DFT (PBE) results for a relaxed HoEr6Tl5 crystal.

Lattice parameters (Å, degrees): 4.9715 8.7619 15.0968 90.00 90.00 90.00
Last column: nearest neighbours and their distance in Å.
Space group Immm (No. 71)
One atom of each set of equivalent atoms:
1 Ho 0.0000 0.0000 0.0000 [2 per cell]  4 Tl 3.33, 8 Er 3.45-3.46
2 Er 0.0000 0.2252 0.5000 [4 per cell]  6 Tl 3.17-3.36, 2 Ho 3.46
3 Er 0.0000 0.2639 0.1698 [8 per cell]  7 Tl 3.24-3.46, 1 Ho 3.45, 4 Er 3.48-3.57
4 Tl 0.0000 0.0000 0.3198 [4 per cell]  8 Er 3.24-3.36, 2 Tl 3.61
5 Tl 0.0000 0.5000 0.0000 [2 per cell]  8 Er 3.17-3.29
6 Tl 0.0000 0.5000 0.3533 [4 per cell]  8 Er 3.27-3.46, 2 Ho 3.33, 2 Tl 3.61

Results
Its formation energy is -0.2544 eV/atom. The value obtained for the density of states at the Fermi level is 24.2 states/eV/cell.

# 4
DFT (PBE) results for a relaxed Ho7Er2Tl2 crystal.

Lattice parameters (Å, degrees): 3.6251 19.6597 9.6115 90.00 90.00 90.00
Last column: nearest neighbours and their distance in Å.
Space group Imm2 (No. 44)
One atom of each set of equivalent atoms:
1 Ho 0.0000 0.0000 0.0000 [2 per cell]  3 Er 3.35-3.61, 2 Ho 3.63
2 Ho 0.0000 0.1319 0.5327 [4 per cell]  2 Tl 3.07, 1 Er 3.14
3 Ho 0.0000 0.3410 0.3418 [4 per cell]  3 Tl 3.19-3.37, 1 Er 3.51, 2 Ho 3.52
4 Ho 0.0000 0.3670 0.7138 [4 per cell]  2 Tl 3.21, 2 Er 3.44, 2 Ho 3.56
5 Er 0.0000 0.0000 0.3489 [2 per cell]  7 Ho 3.14-3.44
6 Er 0.0000 0.5000 0.1751 [2 per cell]  8 Ho 3.45-3.61, 4 Er 3.62-3.63
7 Tl 0.0000 0.2426 0.0543 [4 per cell]  7 Ho 3.07-3.37

Results
Its formation energy is -0.0195 eV/atom. The value obtained for the density of states at the Fermi level is 31.8 states/eV/cell.

# 5
DFT (PBE) results for a relaxed HoEr6Tl crystal.

Lattice parameters (Å, degrees): 4.8659 4.8659 9.9284 90.00 90.00 90.00
Last column: nearest neighbours and their distance in Å.
Space group P4/mmm (No. 123)
One atom of each set of equivalent atoms:
1 Ho 0.0000 0.0000 0.0000 [1 per cell]  12 Er 3.44-3.50
2 Er 0.0000 0.5000 0.2537 [4 per cell]  8 Er 3.44-3.50, 2 Tl 3.45, 2 Ho 3.50
3 Er 0.5000 0.5000 0.0000 [1 per cell]  4 Ho 3.44, 8 Er 3.50
4 Er 0.5000 0.5000 0.5000 [1 per cell]  4 Tl 3.44, 8 Er 3.45
5 Tl 0.0000 0.0000 0.5000 [1 per cell]  12 Er 3.44-3.45

Results
Its formation energy is -0.0722 eV/atom. The value obtained for the density of states at the Fermi level is 8.5 states/eV/cell.

# 6
DFT (PBE) results for a relaxed Ho6ErTl5 crystal.

Lattice parameters (Å, degrees): 4.9807 8.7959 15.1262 90.00 90.00 90.00
Last column: nearest neighbours and their distance in Å.
Space group Immm (No. 71)
One atom of each set of equivalent atoms:
1 Ho 0.0000 0.2263 0.0000 [4 per cell]  6 Tl 3.19-3.37, 2 Er 3.46
2 Ho 0.0000 0.2635 0.3301 [8 per cell]  7 Tl 3.25-3.47, 1 Er 3.46, 4 Ho 3.48-3.58
3 Er 0.0000 0.0000 0.5000 [2 per cell]  4 Tl 3.34, 8 Ho 3.46
4 Tl 0.0000 0.0000 0.1794 [4 per cell]  8 Ho 3.25-3.37, 2 Tl 3.62
5 Tl 0.0000 0.5000 0.1469 [4 per cell]  8 Ho 3.28-3.47, 2 Er 3.34, 2 Tl 3.62
6 Tl 0.0000 0.5000 0.5000 [2 per cell]  8 Ho 3.19-3.31

Results
Its formation energy is -0.2631 eV/atom. Its energy above the most stable polymorph in this dataset is 0 meV per atom. The value obtained for the density of states at the Fermi level is 24.6 states/eV/cell.

# 7
DFT (PBE) results for a relaxed Ho6Er2Tl crystal.

Lattice parameters (Å, degrees): 13.0031 13.5295 6.3522 90.00 94.91 90.00
Last column: nearest neighbours and their distance in Å.
Space group C2/c (No. 15)
One atom of each set of equivalent atoms:
1 Ho 0.1008 0.0711 0.0782 [8 per cell]  2 Er 3.32-3.34, 8 Ho 3.33-3.71
2 Ho 0.1085 0.2017 0.5993 [8 per cell]  2 Er 3.32-3.41, 6 Ho 3.36-3.70
3 Ho 0.1374 0.3255 0.0776 [8 per cell]  2 Er 3.34-3.43, 2 Tl 3.38, 3 Ho 3.46-3.70
4 Er 0.2008 0.4360 0.5576 [8 per cell]  2 Tl 3.04-3.31, 5 Ho 3.32-3.41
5 Tl 0.0000 0.4834 0.7500 [4 per cell]  4 Er 3.04-3.31, 2 Tl 3.21, 4 Ho 3.38

Results
Its formation energy is 0.0381 eV/atom. Its energy above the most stable polymorph in this dataset is 77 meV per atom. The value obtained for the density of states at the Fermi level is 47.5 states/eV/cell.

# 8
DFT (PBE) results for a relaxed Ho2Er2Tl crystal.

Lattice parameters (Å, degrees): 8.1034 8.1034 4.6795 90.00 90.00 90.00
Last column: nearest neighbours and their distance in Å.
Space group P4/mbm (No. 127)
One atom of each set of equivalent atoms:
1 Ho 0.1485 0.3515 0.0000 [4 per cell]  2 Tl 3.09, 6 Er 3.28-3.37, 1 Ho 3.40
2 Er 0.1504 0.6504 0.5000 [4 per cell]  6 Ho 3.28-3.37, 1 Er 3.45
3 Tl 0.0000 0.0000 0.0000 [2 per cell]  4 Ho 3.09

Results
Its formation energy is 0.0666 eV/atom. Its energy above the most stable polymorph in this dataset is 112 meV per atom. The value obtained for the density of states at the Fermi level is 11.0 states/eV/cell.

Please write out number 6 again, unchanged.
DFT (PBE) results for a relaxed Ho6ErTl5 crystal.

Lattice parameters (Å, degrees): 4.9807 8.7959 15.1262 90.00 90.00 90.00
Last column: nearest neighbours and their distance in Å.
Space group Immm (No. 71)
One atom of each set of equivalent atoms:
1 Ho 0.0000 0.2263 0.0000 [4 per cell]  6 Tl 3.19-3.37, 2 Er 3.46
2 Ho 0.0000 0.2635 0.3301 [8 per cell]  7 Tl 3.25-3.47, 1 Er 3.46, 4 Ho 3.48-3.58
3 Er 0.0000 0.0000 0.5000 [2 per cell]  4 Tl 3.34, 8 Ho 3.46
4 Tl 0.0000 0.0000 0.1794 [4 per cell]  8 Ho 3.25-3.37, 2 Tl 3.62
5 Tl 0.0000 0.5000 0.1469 [4 per cell]  8 Ho 3.28-3.47, 2 Er 3.34, 2 Tl 3.62
6 Tl 0.0000 0.5000 0.5000 [2 per cell]  8 Ho 3.19-3.31

Results
Its formation energy is -0.2631 eV/atom. Its energy above the most stable polymorph in this dataset is 0 meV per atom. The value obtained for the density of states at the Fermi level is 24.6 states/eV/cell.